1.
# CaY2Zr

A relaxed structure of CaY2Zr (PBE-GGA, the Alexandria database).

Summary:
For the distance to the lowest polymorph of the same formula, the calculation gives 4.1 kJ/mol of atoms. Its density of states at the Fermi level is 6.20 states/eV per cell. The value obtained for the volume is 31.175 Å³ per atom.

Cell and atoms, written as extended XYZ:
```
4
Lattice="4.624 0.000 0.000 0.000 3.523 0.022 0.000 3.480 7.677" Properties=species:S:1:pos:R:3 pbc="T T T"
Zr 2.312 1.751 1.925
Ca 2.312 5.252 5.774
Y 0.000 3.503 3.578
Y 0.000 3.522 0.293
```

2.
# CaY2Zr

A relaxed structure of CaY2Zr (PBE-GGA, the Alexandria database).

Summary:
For the distance to the lowest polymorph of the same formula, the calculation gives 16.1 kJ/mol of atoms. Its density of states at the Fermi level is 6.58 states/eV per cell. The value obtained for the volume is 31.483 Å³ per atom.

Cell and atoms, written as extended XYZ:
```
4
Lattice="6.830 0.004 -0.003 3.221 6.023 0.003 -4.143 -4.485 3.061" Properties=species:S:1:pos:R:3 pbc="T T T"
Ca 2.052 2.276 1.532
Zr 3.856 -0.734 1.529
Y 5.257 3.152 0.000
Y 9.820 5.888 0.000
```

3.
# CaY2Zr

A relaxed structure of CaY2Zr (PBE-GGA, the Alexandria database).

Summary:
For the distance to the lowest polymorph of the same formula, the calculation gives 15.8 kJ/mol of atoms. Its density of states at the Fermi level is 6.11 states/eV per cell. The value obtained for the volume is 30.757 Å³ per atom.

Cell and atoms, written as extended XYZ:
```
4
Lattice="4.222 2.966 2.131 -0.764 3.006 4.642 2.396 -1.594 4.784" Properties=species:S:1:pos:R:3 pbc="T T T"
Y 1.464 1.094 2.889
Y 4.391 3.283 8.668
Ca 0.000 0.000 0.000
Zr 2.927 2.189 5.778
```

4.
# CaYb3

A relaxed structure of CaYb3 (PBE-GGA, the Alexandria database).

Summary:
As for the total energy: -1.73 eV per atom. Its density of states at the Fermi level is 44.42 states/eV per cell. The value obtained for the volume is 37.596 Å³ per atom.

Cell and atoms, written as extended XYZ:
```
4
Lattice="-1.249 5.059 1.061 -3.527 -0.036 -3.980 -3.779 -1.638 3.363" Properties=species:S:1:pos:R:3 pbc="T T T"
Yb -2.388 2.512 -1.460
Yb -3.653 -0.837 -0.308
Yb -2.514 1.711 2.212
Ca 0.000 0.000 0.000
```

Question: Which of these has the lowest volume?
Answer: number 3

Question: volume of number 4 (CaYb3)?
Answer: 37.596 Å³ per atom

Question: Which formula does entry 2 have?
Answer: CaY2Zr